A relaxed MoIr2Cl crystal, computed with GGA-PBE.

The structure in POSCAR format:
```
MoIr2Cl
1.0
-8.957 -0.273 -4.389
-8.401 -3.037 -4.446
-9.561 -1.880 -2.151
Cl Ir Mo
1 2 1
Direct
0.772 0.772 0.772 Cl
0.985 0.985 0.985 Ir
0.242 0.242 0.242 Ir
0.502 0.502 0.502 Mo
```

Results
Its crystal system is trigonal. The calculated volume comes out at 16.949 Å³ per atom. As for the distance to the lowest polymorph of the same formula: 0 meV per atom. The value obtained for the uncorrected formation energy is 0.205 eV per atom.

=====

A relaxed SrTi4O6 crystal, computed with GGA-PBE.

The structure in POSCAR format:
```
SrTi4O6
1.0
-2.305 -1.778 -2.760
2.046 -3.416 0.492
-5.229 -2.290 5.841
Sr Ti O
1 4 6
Direct
0.000 0.000 0.000 Sr
0.500 0.000 0.500 Ti
0.000 0.500 0.500 Ti
0.500 0.500 0.236 Ti
0.500 0.500 0.764 Ti
0.500 0.500 0.000 O
0.500 0.000 0.244 O
0.000 0.500 0.244 O
0.500 0.000 0.756 O
0.000 0.500 0.756 O
0.000 0.000 0.500 O
```

Results
Its crystal system is tetragonal. The calculated volume comes out at 11.950 Å³ per atom. The value obtained for the uncorrected formation energy is -2.764 eV per atom.

=====

A relaxed Ta2BeZn crystal, computed with GGA-PBE.

The structure in POSCAR format:
```
Ta2BeZn
1.0
9.174 0.004 0.002
8.734 2.808 0.002
8.734 1.371 2.450
Be Zn Ta
1 1 2
Direct
0.754 0.754 0.754 Be
0.491 0.491 0.491 Zn
0.009 0.009 0.009 Ta
0.246 0.246 0.246 Ta
```

Results
Its crystal system is trigonal. The calculated volume comes out at 15.739 Å³ per atom. As for the distance to the lowest polymorph of the same formula: 298 meV per atom. The formation energy comes out at 0.291 eV per atom.

=====

A relaxed TmScGeRu crystal, computed with GGA-PBE.

The structure in POSCAR format:
```
TmScGeRu
1.0
4.750 0.000 0.000
2.375 4.114 0.000
2.375 1.371 3.878
Sc Ru Ge Tm
1 1 1 1
Direct
0.500 0.500 0.500 Sc
0.750 0.750 0.750 Ru
0.250 0.250 0.250 Ge
0.000 0.000 0.000 Tm
```

Results
Its crystal system is cubic. The calculated volume comes out at 18.945 Å³ per atom. The formation energy comes out at -0.554 eV per atom.